(1)
Material: GaF2
Method: DFT, PBE
State: optimized geometry

a b c (Å): 5.983 5.983 7.595
angles (deg): 90.00 90.00 120.00
Fractional coordinates of all 9 atoms:
Ga1 0.000 0.500 0.167
Ga2 0.500 0.000 0.500
Ga3 0.500 0.500 0.833
F1 0.215 0.785 0.333
F2 0.785 0.571 0.000
F3 0.429 0.215 0.667
F4 0.785 0.215 0.333
F5 0.215 0.429 0.000
F6 0.571 0.785 0.667

Calculated values
The value obtained for the formation energy without anion corrections is -2.0134 eV/atom. The volume is 235.5 Å³ per cell. The symmetry is P6_222 (180). The raw total energy comes out at -4.270 eV/atom.



(2)
Material: PtRh2W
Method: DFT, PBE
State: optimized geometry

a b c (Å): 3.842 3.933 3.933
angles (deg): 90.00 90.00 90.00
Fractional coordinates of all 4 atoms:
Rh1 0.000 0.000 0.000
Rh2 0.000 0.500 0.500
W1 0.500 0.500 0.000
Pt1 0.500 0.000 0.500

Calculated values
The volume is 59.4 Å³ per cell. The symmetry is P4/mmm (123). The energy relative to the elements is -0.21 eV/atom. The calculation puts the energy above the most stable polymorph in this dataset at 37 meV per atom. The raw total energy comes out at -8.631 eV/atom.



(3)
Material: RbTiF3
Method: DFT, PBE
State: optimized geometry

a b c (Å): 4.834 6.369 6.369
angles (deg): 120.01 90.00 90.00
Fractional coordinates of all 10 atoms:
Rb1 0.750 0.667 0.333
Rb2 0.250 0.333 0.667
Ti1 0.000 0.000 0.000
Ti2 0.500 0.000 0.000
F1 0.750 0.682 0.841
F2 0.250 0.841 0.682
F3 0.250 0.318 0.159
F4 0.750 0.159 0.318
F5 0.250 0.841 0.159
F6 0.750 0.159 0.841

Calculated values
The value obtained for the formation energy without anion corrections is -2.7758 eV/atom. The volume is 169.8 Å³ per cell. The symmetry is P6_3/mmc (194). The raw total energy comes out at -5.671 eV/atom.



(4)
Material: NaCa2LaBr
Method: DFT, PBE
State: optimized geometry

a b c (Å): 6.362 5.027 6.362
angles (deg): 90.00 90.00 90.00
Fractional coordinates of all 5 atoms:
Na1 0.000 0.000 0.000
Ca1 0.000 0.000 0.500
Ca2 0.500 0.000 0.000
Br1 0.000 0.500 0.000
La1 0.500 0.500 0.500

Calculated values
The value obtained for the formation energy without anion corrections is 0.1441 eV/atom. The volume is 203.5 Å³ per cell. The symmetry is P4/mmm (123). The raw total energy comes out at -2.240 eV/atom.



(5)
Material: TlSn2SbAu
Method: DFT, PBE
State: optimized geometry

a b c (Å): 5.502 4.423 6.855
angles (deg): 90.00 90.00 90.00
Fractional coordinates of all 5 atoms:
Tl1 0.000 0.000 0.483
Sn1 0.000 0.500 0.842
Sn2 0.500 0.000 0.959
Sb1 0.500 0.500 0.646
Au1 0.000 0.000 0.070

Calculated values
The value obtained for the formation energy without anion corrections is 0.0307 eV/atom. The volume is 166.8 Å³ per cell. The symmetry is Pmm2 (25). The raw total energy comes out at -3.524 eV/atom.



(6)
Material: Zn2CoOs
Method: DFT, PBE
State: optimized geometry

a b c (Å): 8.656 8.656 8.656
angles (deg): 17.93 17.93 17.93
Fractional coordinates of all 4 atoms:
Co1 0.250 0.250 0.250
Os1 0.750 0.750 0.750
Zn1 0.996 0.996 0.996
Zn2 0.504 0.504 0.504

Calculated values
The volume is 53.6 Å³ per cell. The symmetry is R-3m (166). The energy relative to the elements is 0.14 eV/atom. The calculation puts the energy above the most stable polymorph in this dataset at 75 meV per atom. The raw total energy comes out at -5.076 eV/atom.



The highest raw total energy belongs to which entry? NaCa2LaBr